A geometry-optimized BaCa2Zr structure, computed with GGA-PBE.

a = 12.415 Å, b = 3.631 Å, c = 6.740 Å
α = 90.00°, β = 98.53°, γ = 90.00°
Atoms (fractional coordinates):
Ba: 0.000 0.000 0.000
Ba: 0.500 0.500 0.000
Ca: 0.239 0.000 0.717
Ca: 0.481 0.000 0.467
Ca: 0.739 0.500 0.717
Ca: 0.981 0.500 0.467
Zr: 0.245 0.500 0.243
Zr: 0.745 0.000 0.243

N(E_F) = 11.9 states/eV per cell
Calculated formation energy = 1.740 eV/f.u.
Size of the total moment = 1.569 μB per formula unit
Symmetry = Cm (8)
Energy relative to the lowest polymorph listed for this composition = 109 meV per atom